*w*
Compound: Ti2CrSi2
Source: the Alexandria database
Functional: PBE-GGA
Structure: relaxed Values from VASP.

```
&SYSTEM
  ibrav = 0, nat = 10, ntyp = 3
/
ATOMIC_SPECIES
Cr 52.00 Cr.upf
Si 28.09 Si.upf
Ti 47.87 Ti.upf
CELL_PARAMETERS angstrom
-4.032 -3.500 -3.374
4.858 -2.748 -2.955
0.095 -2.522 2.503
ATOMIC_POSITIONS angstrom
Cr 0.000 0.000 0.000
Cr 0.413 -3.124 -3.164
Si 2.732 -3.667 -3.800
Si -0.420 -4.774 -4.796
Si -1.906 -2.581 -2.529
Si 1.247 -1.474 -1.533
Ti 2.618 -3.703 -1.307
Ti 1.371 -5.888 -3.462
Ti -1.696 -5.068 -2.519
Ti -0.449 -2.883 -0.364
```



*x*
Compound: Ti2CrSi2
Source: the Alexandria database
Functional: PBE-GGA
Structure: relaxed Values from VASP.

```
&SYSTEM
  ibrav = 0, nat = 10, ntyp = 3
/
ATOMIC_SPECIES
Ti 47.87 Ti.upf
Cr 52.00 Cr.upf
Si 28.09 Si.upf
CELL_PARAMETERS angstrom
-1.795 2.664 -0.687
-1.129 -2.290 -5.926
-5.202 -4.797 2.845
ATOMIC_POSITIONS angstrom
Ti -7.504 -3.678 -2.503
Ti -5.068 -1.641 -0.971
Ti -3.319 -3.313 -4.171
Ti -0.649 -0.801 -1.408
Cr -5.068 -3.027 1.507
Cr -2.696 -0.661 -3.372
Si -5.802 -4.067 -0.608
Si -5.808 -3.023 -4.395
Si -2.768 -2.313 -1.736
Si -2.815 -1.353 -5.739
```



So which one is most stable? That would be *w*, about 30.0 kJ/mol of atoms below the next structure.



*w*
Compound: TlCr3Si
Source: the Alexandria database
Functional: PBE-GGA
Structure: relaxed Values from VASP.

```
&SYSTEM
  ibrav = 0, nat = 5, ntyp = 3
/
ATOMIC_SPECIES
Cr 52.00 Cr.upf
Tl 204.38 Tl.upf
Si 28.09 Si.upf
CELL_PARAMETERS angstrom
5.108 0.000 0.000
0.000 5.108 0.000
0.000 0.000 5.108
ATOMIC_POSITIONS angstrom
Cr 0.000 2.554 0.000
Cr 0.000 0.000 2.554
Cr 2.554 0.000 0.000
Tl 0.000 0.000 0.000
Si 2.554 2.554 2.554
```



*x*
Compound: TlCr3Si
Source: the Alexandria database
Functional: PBE-GGA
Structure: relaxed Values from VASP.

```
&SYSTEM
  ibrav = 0, nat = 5, ntyp = 3
/
ATOMIC_SPECIES
Cr 52.00 Cr.upf
Tl 204.38 Tl.upf
Si 28.09 Si.upf
CELL_PARAMETERS angstrom
-0.613 4.204 1.475
-0.190 -1.513 4.232
4.452 0.515 0.384
ATOMIC_POSITIONS angstrom
Cr -0.095 -0.756 2.116
Cr 2.226 0.257 0.192
Cr -0.307 2.102 0.738
Tl 1.824 1.603 3.045
Si 0.000 0.000 0.000
```



So which one is most stable? That would be *x*, about 102.0 kJ/mol of atoms below the next structure.



*w*
Compound: VCrSi2
Source: the Alexandria database
Functional: PBE-GGA
Structure: relaxed Values from VASP.

```
&SYSTEM
  ibrav = 0, nat = 4, ntyp = 3
/
ATOMIC_SPECIES
Cr 52.00 Cr.upf
Si 28.09 Si.upf
V 50.94 V.upf
CELL_PARAMETERS angstrom
0.000 2.930 2.930
2.930 0.000 2.930
2.930 2.930 0.000
ATOMIC_POSITIONS angstrom
Cr 2.930 2.930 2.930
Si 1.465 1.465 1.465
Si 4.396 4.396 4.396
V 0.000 0.000 0.000
```



*x*
Compound: VCrSi2
Source: the Alexandria database
Functional: PBE-GGA
Structure: relaxed Values from VASP.

```
&SYSTEM
  ibrav = 0, nat = 8, ntyp = 3
/
ATOMIC_SPECIES
Cr 52.00 Cr.upf
Si 28.09 Si.upf
V 50.94 V.upf
CELL_PARAMETERS angstrom
3.536 0.000 0.000
0.000 3.536 0.000
1.768 1.768 8.728
ATOMIC_POSITIONS angstrom
Cr 0.000 0.000 0.000
Cr 3.536 1.768 4.364
Si 2.647 0.884 2.182
Si 0.889 2.652 2.182
Si 2.652 2.658 6.546
Si 4.420 4.415 6.546
V 1.768 1.768 0.000
V 1.768 3.536 4.364
```



*y*
Compound: VCrSi2
Source: the Alexandria database
Functional: PBE-GGA
Structure: relaxed Values from VASP.

```
&SYSTEM
  ibrav = 0, nat = 4, ntyp = 3
/
ATOMIC_SPECIES
Cr 52.00 Cr.upf
Si 28.09 Si.upf
V 50.94 V.upf
CELL_PARAMETERS angstrom
2.688 0.000 0.000
0.000 2.688 0.000
0.000 0.000 6.923
ATOMIC_POSITIONS angstrom
Cr 1.344 1.344 0.000
Si 0.000 0.000 5.293
Si 0.000 0.000 1.630
V 1.344 1.344 3.462
```



So which one is most stable? That would be *y*, about 8.6 kJ/mol of atoms below the next structure.



*w*
Compound: VCrSi2
Source: the Alexandria database
Functional: PBE-GGA
Structure: relaxed Values from VASP.

```
&SYSTEM
  ibrav = 0, nat = 4, ntyp = 3
/
ATOMIC_SPECIES
Cr 52.00 Cr.upf
Si 28.09 Si.upf
V 50.94 V.upf
CELL_PARAMETERS angstrom
-1.911 2.909 -0.996
-2.239 -0.462 2.945
2.239 2.171 2.043
ATOMIC_POSITIONS angstrom
Cr -0.955 2.308 1.996
Si 1.120 1.085 1.021
Si -1.119 -0.231 1.472
V -0.955 1.454 -0.498
```



*x*
Compound: VCrSi2
Source: the Alexandria database
Functional: PBE-GGA
Structure: relaxed Values from VASP.

```
&SYSTEM
  ibrav = 0, nat = 16, ntyp = 3
/
ATOMIC_SPECIES
V 50.94 V.upf
Cr 52.00 Cr.upf
Si 28.09 Si.upf
CELL_PARAMETERS angstrom
5.186 0.000 0.000
0.000 4.434 -0.446
0.000 -1.555 8.839
ATOMIC_POSITIONS angstrom
V 1.561 -0.286 3.322
V 3.625 3.166 5.072
V 1.561 1.726 0.875
V 3.625 1.154 7.519
Cr 5.047 0.974 5.372
Cr 0.140 1.906 3.022
Cr 5.047 -1.089 7.665
Cr 0.140 3.968 0.729
Si 2.384 -1.082 7.684
Si 2.802 3.961 0.710
Si 2.384 0.967 5.352
Si 2.802 1.913 3.042
Si 4.157 1.675 0.888
Si 1.029 1.204 7.506
Si 4.157 -0.236 3.309
Si 1.029 3.115 5.085
```



So which one is most stable? That would be *x*, about 12.3 kJ/mol of atoms below the next structure.



*w*
Compound: V6CrSi
Source: the Alexandria database
Functional: PBE-GGA
Structure: relaxed Values from VASP.

```
&SYSTEM
  ibrav = 0, nat = 8, ntyp = 3
/
ATOMIC_SPECIES
V 50.94 V.upf
Cr 52.00 Cr.upf
Si 28.09 Si.upf
CELL_PARAMETERS angstrom
6.653 0.007 -0.018
3.317 5.766 -0.060
3.329 1.949 2.689
ATOMIC_POSITIONS angstrom
V 4.143 4.336 1.977
V 10.815 7.226 1.934
V 4.989 1.919 0.657
V 2.484 0.496 0.677
V 9.156 3.385 0.633
V 8.310 5.803 1.953
Cr 0.000 0.000 0.000
Si 6.650 3.861 1.305
```



*x*
Compound: V6CrSi
Source: the Alexandria database
Functional: PBE-GGA
Structure: relaxed Values from VASP.

```
&SYSTEM
  ibrav = 0, nat = 8, ntyp = 3
/
ATOMIC_SPECIES
V 50.94 V.upf
Cr 52.00 Cr.upf
Si 28.09 Si.upf
CELL_PARAMETERS angstrom
-3.844 1.200 1.133
-1.894 -1.968 -4.343
-0.035 -3.579 3.676
ATOMIC_POSITIONS angstrom
V -0.228 -1.533 0.851
V -1.232 -4.421 0.503
V -1.180 -2.587 -1.262
V -2.627 -0.557 -0.599
V -3.611 -3.388 -0.939
V -3.582 -1.571 -2.768
Cr -0.283 -3.364 2.605
Si -2.660 -2.370 1.208
```



So which one is most stable? That would be *w*, about 3.8 kJ/mol of atoms below the next structure.



*w*
Compound: V3CrSi
Source: the Alexandria database
Functional: PBE-GGA
Structure: relaxed Values from VASP.

```
&SYSTEM
  ibrav = 0, nat = 10, ntyp = 3
/
ATOMIC_SPECIES
V 50.94 V.upf
Cr 52.00 Cr.upf
Si 28.09 Si.upf
CELL_PARAMETERS angstrom
-3.250 2.727 -2.484
-0.052 -4.680 -0.891
-0.472 -0.836 7.756
ATOMIC_POSITIONS angstrom
V -1.051 -1.557 5.399
V -2.932 -1.355 -1.232
V -2.764 -2.464 3.745
V -0.639 -2.006 2.411
V -1.219 -0.448 0.423
V -3.344 -0.906 1.756
Cr -1.729 1.302 -1.349
Cr -0.602 -3.237 7.204
Si -2.200 -2.984 0.603
Si -1.783 0.072 3.565
```



*x*
Compound: V3CrSi
Source: the Alexandria database
Functional: PBE-GGA
Structure: relaxed Values from VASP.

```
&SYSTEM
  ibrav = 0, nat = 5, ntyp = 3
/
ATOMIC_SPECIES
Cr 52.00 Cr.upf
Si 28.09 Si.upf
V 50.94 V.upf
CELL_PARAMETERS angstrom
-0.547 4.264 0.938
-1.872 0.625 -3.933
-3.944 -0.888 1.736
ATOMIC_POSITIONS angstrom
Cr -3.182 2.000 -0.629
Si 0.000 0.000 0.000
V -0.936 0.312 -1.966
V -1.972 -0.444 0.868
V -0.274 2.132 0.469
```



*y*
Compound: V3CrSi
Source: the Alexandria database
Functional: PBE-GGA
Structure: relaxed Values from VASP.

```
&SYSTEM
  ibrav = 0, nat = 5, ntyp = 3
/
ATOMIC_SPECIES
Cr 52.00 Cr.upf
Si 28.09 Si.upf
V 50.94 V.upf
CELL_PARAMETERS angstrom
-0.754 1.673 -3.861
-2.338 -3.428 -1.029
-3.498 1.930 1.520
ATOMIC_POSITIONS angstrom
Cr 0.000 0.000 0.000
Si -3.295 0.088 -1.685
V -1.169 -1.714 -0.514
V -1.749 0.965 0.760
V -0.377 0.837 -1.930
```



So which one is most stable? That would be *w*, about 103.7 kJ/mol of atoms below the next structure.



*w*
Compound: YCr2Si2
Source: the Alexandria database
Functional: PBE-GGA
Structure: relaxed Values from VASP.

```
&SYSTEM
  ibrav = 0, nat = 5, ntyp = 3
/
ATOMIC_SPECIES
Y 88.91 Y.upf
Cr 52.00 Cr.upf
Si 28.09 Si.upf
CELL_PARAMETERS angstrom
-0.010 -0.995 -4.230
-2.990 -3.068 0.728
-4.636 0.865 -2.425
ATOMIC_POSITIONS angstrom
Y 0.000 0.000 0.000
Cr -2.205 -1.380 -1.903
Cr -5.430 -1.818 -4.024
Si -3.073 -1.081 -4.203
Si -4.563 -2.118 -1.724
```



*x*
Compound: YCr2Si2
Source: the Alexandria database
Functional: PBE-GGA
Structure: relaxed Values from VASP.

```
&SYSTEM
  ibrav = 0, nat = 5, ntyp = 3
/
ATOMIC_SPECIES
Y 88.91 Y.upf
Cr 52.00 Cr.upf
Si 28.09 Si.upf
CELL_PARAMETERS angstrom
-0.822 0.927 3.646
1.617 -3.282 1.199
5.117 1.306 2.855
ATOMIC_POSITIONS angstrom
Y 0.000 0.000 0.000
Cr 2.347 0.527 4.462
Cr 3.566 -1.577 3.238
Si 1.488 -0.604 2.522
Si 4.425 -0.446 5.178
```



So which one is most stable? That would be *x*, about 25.6 kJ/mol of atoms below the next structure.



*w*
Compound: ZnCr2Si2
Source: the Alexandria database
Functional: PBE-GGA
Structure: relaxed Values from VASP.

```
&SYSTEM
  ibrav = 0, nat = 10, ntyp = 3
/
ATOMIC_SPECIES
Cr 52.00 Cr.upf
Zn 65.41 Zn.upf
Si 28.09 Si.upf
CELL_PARAMETERS angstrom
-1.519 6.120 0.783
-4.892 -1.686 3.688
1.836 0.136 2.498
ATOMIC_POSITIONS angstrom
Cr -2.580 -0.047 3.827
Cr -4.180 2.724 4.852
Cr -1.994 4.617 3.142
Cr -0.395 1.847 2.118
Zn 0.000 0.000 0.000
Zn -3.206 2.217 2.235
Si -4.806 0.789 3.489
Si -4.410 4.247 3.010
Si -1.606 3.645 0.981
Si -2.001 0.187 1.461
```



*x*
Compound: ZnCr2Si2
Source: the Alexandria database
Functional: PBE-GGA
Structure: relaxed Values from VASP.

```
&SYSTEM
  ibrav = 0, nat = 10, ntyp = 3
/
ATOMIC_SPECIES
Cr 52.00 Cr.upf
Zn 65.41 Zn.upf
Si 28.09 Si.upf
CELL_PARAMETERS angstrom
-6.061 1.625 1.612
-0.389 -5.227 3.807
1.081 1.661 2.391
ATOMIC_POSITIONS angstrom
Cr -2.454 -3.875 3.802
Cr -5.406 -2.015 3.844
Cr -3.996 0.273 1.617
Cr -1.044 -1.587 1.575
Zn 0.000 0.000 0.000
Zn -3.225 -1.801 2.710
Si -0.575 -2.297 3.873
Si -3.689 -2.605 5.495
Si -4.793 0.357 3.937
Si -1.680 0.665 2.315
```



*y*
Compound: ZnCr2Si2
Source: the Alexandria database
Functional: PBE-GGA
Structure: relaxed Values from VASP.

```
&SYSTEM
  ibrav = 0, nat = 5, ntyp = 3
/
ATOMIC_SPECIES
Cr 52.00 Cr.upf
Zn 65.41 Zn.upf
Si 28.09 Si.upf
CELL_PARAMETERS angstrom
3.395 0.000 0.000
0.000 3.395 0.000
1.698 1.698 6.027
ATOMIC_POSITIONS angstrom
Cr 1.698 1.698 1.250
Cr 3.395 3.395 4.777
Zn 0.000 0.000 0.000
Si 3.395 1.698 3.014
Si 1.698 3.395 3.014
```



So which one is most stable? That would be *w*, about 5.7 kJ/mol of atoms below the next structure.



*w*
Compound: ZnCrSi
Source: the Alexandria database
Functional: PBE-GGA
Structure: relaxed Values from VASP.

```
&SYSTEM
  ibrav = 0, nat = 3, ntyp = 3
/
ATOMIC_SPECIES
Cr 52.00 Cr.upf
Si 28.09 Si.upf
Zn 65.41 Zn.upf
CELL_PARAMETERS angstrom
-0.060 0.464 -2.678
1.391 -2.120 0.982
-5.158 -3.620 -0.512
ATOMIC_POSITIONS angstrom
Cr -0.068 -0.048 -0.007
Si -1.197 -1.535 -1.619
Zn -2.562 -3.694 -0.583
```



*x*
Compound: ZnCrSi
Source: the Alexandria database
Functional: PBE-GGA
Structure: relaxed Values from VASP.

```
&SYSTEM
  ibrav = 0, nat = 3, ntyp = 3
/
ATOMIC_SPECIES
Cr 52.00 Cr.upf
Si 28.09 Si.upf
Zn 65.41 Zn.upf
CELL_PARAMETERS angstrom
6.438 -0.008 0.007
5.813 2.511 0.025
0.625 -0.400 2.487
ATOMIC_POSITIONS angstrom
Cr 12.179 2.485 0.047
Si 4.675 0.611 1.631
Zn 8.274 1.510 0.871
```



*y*
Compound: ZnCrSi
Source: the Alexandria database
Functional: PBE-GGA
Structure: relaxed Values from VASP.

```
&SYSTEM
  ibrav = 0, nat = 3, ntyp = 3
/
ATOMIC_SPECIES
Cr 52.00 Cr.upf
Si 28.09 Si.upf
Zn 65.41 Zn.upf
CELL_PARAMETERS angstrom
4.103 0.000 0.000
2.051 3.553 0.000
2.051 1.184 3.350
ATOMIC_POSITIONS angstrom
Cr 4.103 2.369 1.675
Si 6.154 3.553 2.512
Zn 0.000 0.000 0.000
```



So which one is most stable? That would be *y*, about 0.7 kJ/mol of atoms below the next structure.



*w*
Compound: ZnCr3Si
Source: the Alexandria database
Functional: PBE-GGA
Structure: relaxed Values from VASP.

```
&SYSTEM
  ibrav = 0, nat = 5, ntyp = 3
/
ATOMIC_SPECIES
Cr 52.00 Cr.upf
Zn 65.41 Zn.upf
Si 28.09 Si.upf
CELL_PARAMETERS angstrom
-2.567 1.292 -3.351
-2.640 -3.471 0.684
-2.435 2.401 2.791
ATOMIC_POSITIONS angstrom
Cr -1.320 -1.736 0.342
Cr -1.217 1.201 1.396
Cr -1.283 0.646 -1.675
Zn -3.821 0.111 0.062
Si 0.000 0.000 0.000
```



*x*
Compound: ZnCr3Si
Source: the Alexandria database
Functional: PBE-GGA
Structure: relaxed Values from VASP.

```
&SYSTEM
  ibrav = 0, nat = 5, ntyp = 3
/
ATOMIC_SPECIES
Cr 52.00 Cr.upf
Zn 65.41 Zn.upf
Si 28.09 Si.upf
CELL_PARAMETERS angstrom
-2.769 3.535 0.436
-2.083 -1.158 -3.831
-2.890 -2.553 2.343
ATOMIC_POSITIONS angstrom
Cr -1.041 -0.579 -1.915
Cr -1.445 -1.276 1.171
Cr -1.384 1.768 0.218
Zn 0.000 0.000 0.000
Si -3.871 -0.088 -0.526
```



So which one is most stable? That would be *w*, about 46.5 kJ/mol of atoms below the next structure.



*w*
Compound: Zn3CrSi
Source: the Alexandria database
Functional: PBE-GGA
Structure: relaxed Values from VASP.

```
&SYSTEM
  ibrav = 0, nat = 5, ntyp = 3
/
ATOMIC_SPECIES
Cr 52.00 Cr.upf
Zn 65.41 Zn.upf
Si 28.09 Si.upf
CELL_PARAMETERS angstrom
-3.889 -0.092 -2.392
-2.232 -1.509 3.687
-0.865 4.310 1.240
ATOMIC_POSITIONS angstrom
Cr -3.493 1.354 1.268
Zn -1.116 -0.754 1.844
Zn -0.432 2.155 0.620
Zn -1.945 -0.046 -1.196
Si 0.000 0.000 0.000
```



*x*
Compound: Zn3CrSi
Source: the Alexandria database
Functional: PBE-GGA
Structure: relaxed Values from VASP.

```
&SYSTEM
  ibrav = 0, nat = 5, ntyp = 3
/
ATOMIC_SPECIES
Cr 52.00 Cr.upf
Zn 65.41 Zn.upf
Si 28.09 Si.upf
CELL_PARAMETERS angstrom
-4.068 1.771 1.819
1.678 -0.701 4.437
1.905 4.400 -0.025
ATOMIC_POSITIONS angstrom
Cr 0.000 0.000 0.000
Zn 0.839 -0.351 2.218
Zn 0.952 2.200 -0.013
Zn -2.034 0.886 0.909
Si -0.242 2.735 3.115
```



So which one is most stable? That would be *x*, about 14.9 kJ/mol of atoms below the next structure.